First-principles (PBE-GGA) data for a geometry-optimized ZrAlCoHg structure, as listed in the Open Quantum Materials Database.

Cell and atoms, written as extended XYZ:
```
4
Lattice="0.0000 3.2437 3.2437 3.2437 0.0000 3.2437 3.2437 3.2437 0.0000" Properties=species:S:1:pos:R:3 pbc="T T T"
Al 0.0000 0.0000 0.0000
Co 4.8656 4.8656 4.8656
Zr 3.2437 3.2437 3.2437
Hg 1.6219 1.6219 1.6219
```

Calculated values
relative energy among the computed polymorphs: 0.0 meV per atom
uncorrected energy: -5.00 eV per atom
crystal system: cubic